A relaxed structure of Pm6PrTe8. Source: the Alexandria database, functional PBE-GGA.

Output
volume = 499.2 Å³ per cell
ΔE_f (raw) = -1454 meV per atom
uncorrected energy = -80.23 eV/cell

abc: 8.9043 8.9043 8.9043
angles: 60.00 60.00 60.00
With the nearest neighbours (Å) after each atom.
Sites, in units of the cell vectors:
Pm  0.0000  0.0000  0.5000  6 Te 3.15
Pm  0.0000  0.5000  0.0000  6 Te 3.15
Pm  0.0000  0.5000  0.5000  6 Te 3.15
Pm  0.5000  0.0000  0.0000  6 Te 3.15
Pm  0.5000  0.0000  0.5000  6 Te 3.15
Pm  0.5000  0.5000  0.0000  6 Te 3.15
Pr  0.0000  0.0000  0.0000  6 Te 3.25
Te  0.2500  0.2500  0.2500  6 Pm 3.15
Te  0.2583  0.2583  0.7417  4 Pm 3.15, 1 Pr 3.25
Te  0.2583  0.7417  0.2583  4 Pm 3.15, 1 Pr 3.25
Te  0.2583  0.7417  0.7417  4 Pm 3.15, 1 Pr 3.25
Te  0.7417  0.2583  0.2583  4 Pm 3.15, 1 Pr 3.25
Te  0.7417  0.2583  0.7417  4 Pm 3.15, 1 Pr 3.25
Te  0.7417  0.7417  0.2583  4 Pm 3.15, 1 Pr 3.25
Te  0.7500  0.7500  0.7500  6 Pm 3.15

A relaxed structure of CaAc2CdHg6. Source: the Alexandria database, functional PBE-GGA.

Output
volume = 333.8 Å³ per cell
formation enthalpy at 0 K = -0.7 kcal/mol of atoms
uncorrected energy = -13.23 eV/cell

abc: 7.7866 7.7866 7.7866
angles: 60.00 60.00 60.00
With the nearest neighbours (Å) after each atom.
Sites, in units of the cell vectors:
Ca  0.0000  0.0000  0.0000  6 Hg 2.79
Ac  0.2500  0.2500  0.2500  12 Hg 3.89
Ac  0.7500  0.7500  0.7500  12 Hg 3.89
Cd  0.5000  0.5000  0.5000  6 Hg 2.71
Hg  0.2538  0.2538  0.7462  1 Cd 2.71, 1 Ca 2.79
Hg  0.2538  0.7462  0.2538  1 Cd 2.71, 1 Ca 2.79
Hg  0.2538  0.7462  0.7462  1 Cd 2.71, 1 Ca 2.79
Hg  0.7462  0.2538  0.2538  1 Cd 2.71, 1 Ca 2.79
Hg  0.7462  0.2538  0.7462  1 Cd 2.71, 1 Ca 2.79
Hg  0.7462  0.7462  0.2538  1 Cd 2.71, 1 Ca 2.79

A relaxed structure of CaGa2AsN. Source: the Alexandria database, functional PBE-GGA.

Output
volume = 109.2 Å³ per cell
ΔE_f (raw) = 492 meV per atom
uncorrected energy = -18.57 eV/cell

abc: 5.3662 5.3662 3.7917
angles: 90.00 90.00 90.00
With the nearest neighbours (Å) after each atom.
Sites, in units of the cell vectors:
Ca  0.0000  0.0000  0.0000  8 Ga 3.29
Ga  0.0000  0.5000  0.5000  2 As 2.68
Ga  0.5000  0.0000  0.5000  2 As 2.68
As  0.5000  0.5000  0.5000  2 N 1.90
N  0.5000  0.5000  0.0000  2 As 1.90